This record from the Alexandria database describes a relaxed NdTh2Zn crystal. The functional is PBE.

Values from the calculation:
Polymorph energy (0 for the lowest one) = 37 meV per atom
Energy = -20.79 eV per cell
Crystal system = tetragonal

Unit cell a=4.8332 b=4.8332 c=4.9108 alpha=90.00 beta=90.00 gamma=90.00
With the nearest neighbours (Å) after each atom.
Space group P4/mmm (No. 123)
One atom of each set of equivalent atoms:
Nd (0.0000, 0.0000, 0.0000) [1 per cell]  4 Zn 3.42, 8 Th 3.45
Th (0.0000, 0.5000, 0.5000) [2 per cell]  4 Th 3.42, 4 Nd 3.45, 4 Zn 3.45
Zn (0.5000, 0.5000, 0.0000) [1 per cell]  4 Nd 3.42, 8 Th 3.45


This record from the Alexandria database describes a relaxed NdThZn17 crystal. The functional is PBE.

Values from the calculation:
Energy = -114.83 eV per cell
Crystal system = trigonal

Unit cell a=9.0591 b=9.0591 c=13.2486 alpha=90.00 beta=90.00 gamma=120.00
With the nearest neighbours (Å) after each atom.
Space group R3m (No. 160, hexagonal axes)
One atom of each set of equivalent atoms:
Nd (0.0000, 0.0000, 0.0000) [3 per cell]  19 Zn 3.15-3.47
Th (0.0000, 0.0000, 0.6724) [3 per cell]  19 Zn 3.15-3.47
Zn (0.0000, 0.0000, 0.2374) [3 per cell]  7 Zn 2.62-2.89
Zn (0.0000, 0.0000, 0.4350) [3 per cell]  7 Zn 2.62-2.88
Zn (0.9996, 0.2926, 0.3361) [18 per cell]  8 Zn 2.59-2.77
Zn (0.9996, 0.4998, 0.8363) [9 per cell]  10 Zn 2.59-2.77
Zn (0.0083, 0.5041, 0.4893) [9 per cell]  8 Zn 2.58-2.77
Zn (0.1704, 0.3408, 0.5162) [9 per cell]  9 Zn 2.58-2.88


This record from the Alexandria database describes a relaxed NdTh2Zn crystal. The functional is PBE.

Values from the calculation:
Polymorph energy (0 for the lowest one) = 222 meV per atom
Energy = -60.17 eV per cell
Crystal system = trigonal

Unit cell a=3.4283 b=3.4283 c=35.3431 alpha=90.00 beta=90.00 gamma=120.00
With the nearest neighbours (Å) after each atom.
Space group R-3m (No. 166, hexagonal axes)
One atom of each set of equivalent atoms:
Nd (0.0000, 0.0000, 0.0000) [3 per cell]  2 Th 3.43, 6 Nd 3.43
Th (0.0000, 0.0000, 0.0969) [6 per cell]  3 Zn 3.16, 1 Nd 3.43, 6 Th 3.43
Zn (0.0000, 0.0000, 0.5000) [3 per cell]  6 Th 3.16, 6 Zn 3.43


This record from the Alexandria database describes a relaxed Nd2ThZn2 crystal. The functional is PBE.

Values from the calculation:
Energy = -40.27 eV per cell
Crystal system = orthorhombic

Unit cell a=3.7576 b=20.1590 c=3.6624 alpha=90.00 beta=90.00 gamma=90.00
With the nearest neighbours (Å) after each atom.
Space group Cmmm (No. 65)
One atom of each set of equivalent atoms:
Nd (0.0000, 0.1741, 0.0000) [4 per cell]  4 Zn 3.14, 1 Th 3.51
Th (0.0000, 0.0000, 0.0000) [2 per cell]  8 Zn 3.17, 2 Nd 3.51
Zn (0.0000, 0.4114, 0.5000) [4 per cell]  4 Nd 3.14, 4 Th 3.17


This record from the Alexandria database describes a relaxed NdTh2Zn6 crystal. The functional is PBE.

Values from the calculation:
Energy = -29.92 eV per cell
Crystal system = hexagonal

Unit cell a=7.9605 b=7.9605 c=3.5444 alpha=90.00 beta=90.00 gamma=120.00
With the nearest neighbours (Å) after each atom.
Space group P6/mmm (No. 191)
One atom of each set of equivalent atoms:
Nd (0.0000, 0.0000, 0.0000) [1 per cell]  12 Zn 3.19, 2 Nd 3.54
Th (0.3333, 0.6667, 0.0000) [2 per cell]  12 Zn 3.19, 2 Th 3.54
Zn (0.0000, 0.3330, 0.5000) [6 per cell]  3 Zn 2.65-2.66


This record from the Alexandria database describes a relaxed Nd2ThZn4 crystal. The functional is PBE.

Values from the calculation:
Energy = -45.20 eV per cell
Crystal system = tetragonal

Unit cell a=5.3584 b=5.3584 c=12.6771 alpha=90.00 beta=90.00 gamma=90.00
With the nearest neighbours (Å) after each atom.
Space group I4/mmm (No. 139)
One atom of each set of equivalent atoms:
Nd (0.0000, 0.0000, 0.2181) [4 per cell]  4 Zn 3.02
Th (0.0000, 0.0000, 0.5000) [2 per cell]  8 Zn 3.01
Zn (0.0000, 0.5000, 0.1086) [8 per cell]  1 Zn 2.75, 2 Th 3.01, 2 Nd 3.02


This record from the Alexandria database describes a relaxed NdThZn crystal. The functional is PBE.

Values from the calculation:
Polymorph energy (0 for the lowest one) = 0 meV per atom
Energy = -55.31 eV per cell
Crystal system = orthorhombic

Unit cell a=3.6484 b=17.0650 c=5.4486 alpha=90.00 beta=90.00 gamma=90.00
With the nearest neighbours (Å) after each atom.
Space group Cmcm (No. 63)
One atom of each set of equivalent atoms:
Nd (0.0000, 0.0782, 0.2500) [4 per cell]  6 Zn 3.12-3.28
Th (0.0000, 0.2238, 0.7500) [4 per cell]  2 Zn 3.19, 4 Th 3.40
Zn (0.0000, 0.4296, 0.2500) [4 per cell]  6 Nd 3.12-3.28, 2 Th 3.19


This record from the Alexandria database describes a relaxed NdThZn3 crystal. The functional is PBE.

Values from the calculation:
Energy = -69.30 eV per cell
Crystal system = orthorhombic

Unit cell a=3.5672 b=28.0901 c=4.5972 alpha=90.00 beta=90.00 gamma=90.00
With the nearest neighbours (Å) after each atom.
Space group Cmcm (No. 63)
One atom of each set of equivalent atoms:
Nd (0.0000, 0.2074, 0.2500) [4 per cell]  6 Zn 3.11
Th (0.0000, 0.0713, 0.7500) [4 per cell]  12 Zn 3.18-3.26
Zn (0.0000, 0.3318, 0.2500) [4 per cell]  2 Zn 2.71
Zn (0.0000, 0.3831, 0.7500) [4 per cell]  3 Zn 2.63-2.71
Zn (0.0000, 0.4768, 0.7500) [4 per cell]  3 Zn 2.63-2.64


This record from the Alexandria database describes a relaxed NdTh2Zn crystal. The functional is PBE.

Values from the calculation:
Polymorph energy (0 for the lowest one) = 0 meV per atom
Energy = -20.94 eV per cell
Crystal system = tetragonal

Unit cell a=3.6753 b=3.6753 c=8.7241 alpha=90.00 beta=90.00 gamma=90.00
With the nearest neighbours (Å) after each atom.
Space group P4/mmm (No. 123)
One atom of each set of equivalent atoms:
Nd (0.0000, 0.0000, 0.0000) [1 per cell]  8 Th 3.66, 4 Nd 3.68
Th (0.5000, 0.5000, 0.2956) [2 per cell]  4 Zn 3.15
Zn (0.0000, 0.0000, 0.5000) [1 per cell]  8 Th 3.15


This record from the Alexandria database describes a relaxed NdThZr2 crystal. The functional is PBE.

Values from the calculation:
Polymorph energy (0 for the lowest one) = 36 meV per atom
Energy = -28.58 eV per cell
Crystal system = tetragonal

Unit cell a=4.7954 b=4.7954 c=4.8339 alpha=90.00 beta=90.00 gamma=90.00
With the nearest neighbours (Å) after each atom.
Space group P4/mmm (No. 123)
One atom of each set of equivalent atoms:
Nd (0.0000, 0.0000, 0.0000) [1 per cell]  4 Th 3.39, 8 Zr 3.40
Th (0.5000, 0.5000, 0.0000) [1 per cell]  4 Nd 3.39, 8 Zr 3.40
Zr (0.0000, 0.5000, 0.5000) [2 per cell]  4 Zr 3.39, 4 Th 3.40, 4 Nd 3.40


This record from the Alexandria database describes a relaxed Nd2ThZr crystal. The functional is PBE.

Values from the calculation:
Polymorph energy (0 for the lowest one) = 179 meV per atom
Energy = -72.49 eV per cell
Crystal system = trigonal

Unit cell a=3.4562 b=3.4562 c=36.2850 alpha=90.00 beta=90.00 gamma=120.00
With the nearest neighbours (Å) after each atom.
Space group R-3m (No. 166, hexagonal axes)
One atom of each set of equivalent atoms:
Nd (0.0000, 0.0000, 0.0866) [6 per cell]  1 Zr 3.14, 6 Nd 3.46
Th (0.0000, 0.0000, 0.5000) [3 per cell]  6 Th 3.46, 6 Nd 3.53
Zr (0.0000, 0.0000, 0.0000) [3 per cell]  2 Nd 3.14, 6 Zr 3.46


This record from the Alexandria database describes a relaxed NdThZr2 crystal. The functional is PBE.

Values from the calculation:
Polymorph energy (0 for the lowest one) = 0 meV per atom
Energy = -28.73 eV per cell
Crystal system = tetragonal

Unit cell a=3.9900 b=3.9900 c=7.1380 alpha=90.00 beta=90.00 gamma=90.00
With the nearest neighbours (Å) after each atom.
Space group P4/mmm (No. 123)
One atom of each set of equivalent atoms:
Nd (0.0000, 0.0000, 0.0000) [1 per cell]  8 Zr 3.48, 2 Th 3.57
Th (0.0000, 0.0000, 0.5000) [1 per cell]  8 Zr 3.21, 2 Nd 3.57
Zr (0.5000, 0.5000, 0.2864) [2 per cell]  1 Zr 3.05, 4 Th 3.21


This record from the Alexandria database describes a relaxed Nd2ThZr crystal. The functional is PBE.

Values from the calculation:
Polymorph energy (0 for the lowest one) = 5 meV per atom
Energy = -74.58 eV per cell
Crystal system = trigonal

Unit cell a=3.5060 b=3.5060 c=34.7746 alpha=90.00 beta=90.00 gamma=120.00
With the nearest neighbours (Å) after each atom.
Space group R3m (No. 160, hexagonal axes)
One atom of each set of equivalent atoms:
Nd (0.0000, 0.0000, 0.0000) [3 per cell]  3 Zr 3.40, 6 Nd 3.51, 3 Th 3.66
Nd (0.0000, 0.0000, 0.1772) [3 per cell]  3 Zr 3.37, 6 Nd 3.51, 3 Th 3.71
Th (0.0000, 0.0000, 0.7545) [3 per cell]  6 Th 3.51, 6 Nd 3.66-3.71
Zr (0.0000, 0.0000, 0.5880) [3 per cell]  6 Nd 3.37-3.40, 6 Zr 3.51


no.,size of the total moment (μB/cell),formation energy from the elements (eV per atom)
1,0.00,0.022
2,0.00,-0.233
3,0.00,0.206
4,0.00,-0.126
5,0.00,-0.297
6,0.00,-0.078
7,0.00,-0.122
8,0.00,-0.263
9,0.00,-0.015
10,0.00,0.175
11,0.00,0.335
12,0.00,0.138
13,0.00,0.161